a | DFT (PBE-GGA) results for crystalline Cu2SbBr at its relaxed geometry.

abc: 7.915 3.859 6.204
angles: 90.00 104.58 90.00
Space group Cm (No. 8)
Asymmetric unit:
Cu  0.000  0.000  0.000
Cu  0.210  0.500  0.089
Sb  0.273  0.000  0.822
Br  0.071  0.500  0.387

V	91.71	Å³/f.u.
DOS(E_F)	0.32	states/eV/atom

b | DFT (PBE-GGA) results for crystalline Cu2SbBr at its relaxed geometry.

abc: 6.064 7.617 3.369
angles: 90.00 90.00 90.00
Space group Cmmm (No. 65)
Asymmetric unit:
Cu  0.250  0.250  0.000
Sb  0.000  0.000  0.500
Br  0.000  0.500  0.500

V	77.81	Å³/f.u.
DOS(E_F)	0.24	states/eV/atom

c | DFT (PBE-GGA) results for crystalline Cu2SbBr at its relaxed geometry.

abc: 3.362 7.818 8.634
angles: 90.00 90.00 90.00
Space group Immm (No. 71)
Asymmetric unit:
Cu  0.000  0.249  0.000
Sb  0.000  0.000  0.500
Br  0.000  0.500  0.500

V	113.47	Å³/f.u.
DOS(E_F)	0.53	states/eV/atom

Result of the stability comparison: b is the least stable of them.

a | DFT (PBE-GGA) results for crystalline Cu2SbBr at its relaxed geometry.

abc: 3.384 3.718 6.654
angles: 90.00 90.00 90.00
Space group Pmmm (No. 47)
Asymmetric unit:
Cu  0.000  0.000  0.194
Sb  0.500  0.500  0.000
Br  0.500  0.000  0.500

V	83.72	Å³/f.u.
DOS(E_F)	0.44	states/eV/atom

b | DFT (PBE-GGA) results for crystalline Cu2SbBr at its relaxed geometry.

abc: 3.290 3.290 7.201
angles: 90.00 90.00 90.00
Space group P4/mmm (No. 123)
Asymmetric unit:
Cu  0.000  0.000  0.237
Sb  0.500  0.500  0.000
Br  0.500  0.500  0.500

V	77.95	Å³/f.u.
DOS(E_F)	0.51	states/eV/atom

c | DFT (PBE-GGA) results for crystalline Cu2SbBr at its relaxed geometry.

abc: 6.863 6.863 6.863
angles: 90.00 90.00 90.00
Space group F-43m (No. 216)
Asymmetric unit:
Cu  0.000  0.000  0.000
Cu  0.250  0.250  0.250
Sb  0.000  0.000  0.500
Br  0.250  0.250  0.750

V	80.80	Å³/f.u.
DOS(E_F)	0.78	states/eV/atom

d | DFT (PBE-GGA) results for crystalline Cu2SbBr at its relaxed geometry.

abc: 6.782 6.782 6.782
angles: 90.00 90.00 90.00
Space group Fm-3m (No. 225)
Asymmetric unit:
Cu  0.250  0.250  0.250
Sb  0.000  0.000  0.000
Br  0.000  0.000  0.500

V	77.98	Å³/f.u.
DOS(E_F)	2.01	states/eV/atom

Result of the stability comparison: c is the least stable of them.

a | DFT (PBE-GGA) results for crystalline Cu2SbBr at its relaxed geometry.

abc: 6.111 6.111 10.551
angles: 90.00 90.00 90.00
Space group I-42d (No. 122)
Asymmetric unit:
Cu  0.250  0.250  0.125
Sb  0.000  0.000  0.000
Br  0.000  0.000  0.500

V	98.51	Å³/f.u.
DOS(E_F)	0.20	states/eV/atom

b | DFT (PBE-GGA) results for crystalline Cu2SbBr at its relaxed geometry.

abc: 3.7746 3.7746 22.0467
angles: 90.00 90.00 120.00
Space group R3m (No. 160, hexagonal axes)
Asymmetric unit:
Cu  0.0000  0.0000  0.0000
Cu  0.0000  0.0000  0.2757
Sb  0.0000  0.0000  0.7280
Br  0.0000  0.0000  0.5479

V	90.68	Å³/f.u.
DOS(E_F)	0.32	states/eV/atom

c | DFT (PBE-GGA) results for crystalline Cu2SbBr at its relaxed geometry.

abc: 5.031 5.031 3.078
angles: 90.00 90.00 90.00
Space group P4/mmm (No. 123)
Asymmetric unit:
Cu  0.000  0.500  0.000
Sb  0.000  0.000  0.500
Br  0.500  0.500  0.500

V	77.90	Å³/f.u.
DOS(E_F)	0.75	states/eV/atom

d | DFT (PBE-GGA) results for crystalline Cu2SbBr at its relaxed geometry.

abc: 5.898 7.618 4.189
angles: 90.00 118.42 90.00
Space group C2/m (No. 12)
Asymmetric unit:
Cu  0.250  0.250  0.000
Sb  0.000  0.000  0.500
Br  0.000  0.500  0.500

V	82.76	Å³/f.u.
DOS(E_F)	0.54	states/eV/atom

Result of the stability comparison: c is the least stable of them.

a | DFT (PBE-GGA) results for crystalline Cu2SbBr at its relaxed geometry.

abc: 3.393 3.393 7.622
angles: 90.00 90.00 90.00
Space group P4mm (No. 99)
Asymmetric unit:
Cu  0.000  0.000  0.000
Cu  0.500  0.500  0.148
Sb  0.000  0.000  0.341
Br  0.500  0.500  0.815

V	87.77	Å³/f.u.
DOS(E_F)	0.24	states/eV/atom

b | DFT (PBE-GGA) results for crystalline Cu2SbBr at its relaxed geometry.

abc: 4.481 4.481 7.804
angles: 90.00 90.00 90.00
Space group I4/mmm (No. 139)
Asymmetric unit:
Cu  0.000  0.500  0.250
Sb  0.000  0.000  0.000
Br  0.000  0.000  0.500

V	78.36	Å³/f.u.
DOS(E_F)	0.70	states/eV/atom

c | DFT (PBE-GGA) results for crystalline Cu2SbBr at its relaxed geometry.

abc: 3.417 3.650 14.731
angles: 90.00 90.00 90.00
Space group Imm2 (No. 44)
Asymmetric unit:
Cu  0.000  0.000  0.000
Cu  0.000  0.500  0.114
Sb  0.000  0.500  0.677
Br  0.000  0.000  0.424

V	91.87	Å³/f.u.
DOS(E_F)	0.25	states/eV/atom

d | DFT (PBE-GGA) results for crystalline Cu2SbBr at its relaxed geometry.

abc: 3.339 3.980 7.209
angles: 90.00 90.00 90.00
Space group Pmmm (No. 47)
Asymmetric unit:
Cu  0.000  0.000  0.000
Cu  0.000  0.500  0.500
Sb  0.500  0.000  0.500
Br  0.500  0.500  0.000

V	95.81	Å³/f.u.
DOS(E_F)	0.54	states/eV/atom

Result of the stability comparison: b is the least stable of them.

a | DFT (PBE-GGA) results for crystalline Cu2SbBr at its relaxed geometry.

abc: 3.643 3.643 17.245
angles: 90.00 90.00 90.00
Space group I-4m2 (No. 119)
Asymmetric unit:
Cu  0.000  0.000  0.000
Cu  0.000  0.500  0.250
Sb  0.000  0.500  0.750
Br  0.000  0.000  0.500

V	114.46	Å³/f.u.
DOS(E_F)	0.53	states/eV/atom

b | DFT (PBE-GGA) results for crystalline Cu2SbBr at its relaxed geometry.

abc: 3.614 3.616 7.237
angles: 90.00 90.06 90.00
Space group Pm (No. 6)
Asymmetric unit:
Cu  0.000  0.000  0.000
Cu  0.500  0.500  0.000
Sb  0.000  0.500  0.269
Br  0.499  0.000  0.743

V	94.57	Å³/f.u.
DOS(E_F)	0.25	states/eV/atom

Result of the stability comparison: a is the least stable of them.

a | DFT (PBE-GGA) results for crystalline Cu2SbBr at its relaxed geometry.

abc: 3.541 6.204 7.739
angles: 90.00 90.00 90.00
Space group Cmmm (No. 65)
Asymmetric unit:
Cu  0.000  0.000  0.248
Sb  0.000  0.500  0.500
Br  0.000  0.500  0.000

V	85.00	Å³/f.u.
DOS(E_F)	0.41	states/eV/atom

b | DFT (PBE-GGA) results for crystalline Cu2SbBr at its relaxed geometry.

abc: 6.259 3.622 7.307
angles: 90.00 106.59 90.00
Space group C2/m (No. 12)
Asymmetric unit:
Cu  0.247  0.000  0.244
Sb  0.000  0.500  0.000
Br  0.000  0.000  0.500

V	79.37	Å³/f.u.
DOS(E_F)	0.42	states/eV/atom

Result of the stability comparison: a is the least stable of them.

a | DFT (PBE-GGA) results for crystalline CuSbBr2 at its relaxed geometry.

abc: 3.520 3.476 8.799
angles: 90.00 93.23 90.00
Space group P2/m (No. 10)
Asymmetric unit:
Cu  0.000  0.000  0.000
Sb  0.000  0.000  0.500
Br  0.033  0.500  0.802

V	107.48	Å³/f.u.
DOS(E_F)	0.43	states/eV/atom

b | DFT (PBE-GGA) results for crystalline CuSbBr2 at its relaxed geometry.

abc: 7.224 7.224 7.224
angles: 90.00 90.00 90.00
Space group Fm-3m (No. 225)
Asymmetric unit:
Cu  0.000  0.000  0.000
Sb  0.000  0.000  0.500
Br  0.250  0.250  0.250

V	94.24	Å³/f.u.
DOS(E_F)	0.69	states/eV/atom

Result of the stability comparison: b is the least stable of them.

a | DFT (PBE-GGA) results for crystalline CuSbBr2 at its relaxed geometry.

abc: 3.451 3.451 8.611
angles: 90.00 90.00 90.00
Space group P4mm (No. 99)
Asymmetric unit:
Cu  0.000  0.000  0.000
Sb  0.500  0.500  0.179
Br  0.000  0.000  0.420
Br  0.500  0.500  0.833

V	102.57	Å³/f.u.
DOS(E_F)	0.52	states/eV/atom

b | DFT (PBE-GGA) results for crystalline CuSbBr2 at its relaxed geometry.

abc: 3.521 6.454 8.842
angles: 90.00 90.00 90.00
Space group Cmmm (No. 65)
Asymmetric unit:
Cu  0.000  0.000  0.000
Sb  0.000  0.000  0.500
Br  0.000  0.500  0.197

V	100.48	Å³/f.u.
DOS(E_F)	0.55	states/eV/atom

c | DFT (PBE-GGA) results for crystalline CuSbBr2 at its relaxed geometry.

abc: 7.221 7.221 7.221
angles: 90.00 90.00 90.00
Space group F-43m (No. 216)
Asymmetric unit:
Cu  0.000  0.000  0.000
Sb  0.250  0.250  0.250
Br  0.000  0.000  0.500
Br  0.250  0.250  0.750

V	94.12	Å³/f.u.
DOS(E_F)	0.36	states/eV/atom

Result of the stability comparison: c is the least stable of them.

a | DFT (PBE-GGA) results for crystalline CuSbBr2 at its relaxed geometry.

abc: 3.329 3.329 8.455
angles: 90.00 90.00 90.00
Space group P4/mmm (No. 123)
Asymmetric unit:
Cu  0.000  0.000  0.000
Sb  0.000  0.000  0.500
Br  0.500  0.500  0.198

V	93.69	Å³/f.u.
DOS(E_F)	0.41	states/eV/atom

b | DFT (PBE-GGA) results for crystalline CuSbBr2 at its relaxed geometry.

abc: 5.239 3.537 5.856
angles: 90.00 102.21 90.00
Space group Pm (No. 6)
Asymmetric unit:
Cu  0.000  0.000  0.000
Sb  0.695  0.500  0.733
Br  0.358  0.500  0.056
Br  0.986  0.000  0.433

V	106.08	Å³/f.u.
DOS(E_F)	0.21	states/eV/atom

c | DFT (PBE-GGA) results for crystalline CuSbBr2 at its relaxed geometry.

abc: 3.6116 3.6116 25.2456
angles: 90.00 90.00 120.00
Space group R-3m (No. 166, hexagonal axes)
Asymmetric unit:
Cu  0.0000  0.0000  0.0000
Sb  0.0000  0.0000  0.5000
Br  0.0000  0.0000  0.2712

V	95.06	Å³/f.u.
DOS(E_F)	0.57	states/eV/atom

Result of the stability comparison: a is the least stable of them.

a | DFT (PBE-GGA) results for crystalline CuSbBr2 at its relaxed geometry.

abc: 3.392 6.864 9.007
angles: 90.00 90.00 90.00
Space group Immm (No. 71)
Asymmetric unit:
Cu  0.000  0.000  0.000
Sb  0.000  0.000  0.500
Br  0.000  0.500  0.298

V	104.84	Å³/f.u.
DOS(E_F)	0.72	states/eV/atom

b | DFT (PBE-GGA) results for crystalline CuSbBr2 at its relaxed geometry.

abc: 3.509 4.535 6.429
angles: 90.00 90.00 90.00
Space group Pmmm (No. 47)
Asymmetric unit:
Cu  0.000  0.000  0.000
Sb  0.500  0.000  0.500
Br  0.000  0.500  0.500
Br  0.500  0.500  0.000

V	102.30	Å³/f.u.
DOS(E_F)	0.76	states/eV/atom

Result of the stability comparison: b is the least stable of them.